# 1
Er3Ge6Pd20: relaxed, PBE.

The space group is Fm-3m (No. 225) and the conventional cell measures 12.479, 12.479 and 12.479 Å, with angles of 90.00, 90.00 and 90.00 degrees. The inequivalent atoms are Er at (0.000, 0.000, 0.000), Er at (0.250, 0.250, 0.250), Ge at (0.000, 0.000, 0.269), Pd at (0.000, 0.173, 0.173) and Pd at (0.120, 0.120, 0.380).

The formation energy comes out at -19.50 eV/f.u.

# 2
NdSm6: relaxed, PBE.

The space group is Im-3m (No. 229) and the conventional cell measures 8.121, 8.121 and 8.121 Å, with angles of 90.00, 90.00 and 90.00 degrees. The inequivalent atoms are Nd at (0.000, 0.000, 0.000) and Sm at (0.000, 0.250, 0.500).

The formation energy comes out at 8.58 eV/f.u.

# 3
Mg3TeF: relaxed, PBE.

The space group is Pm-3m (No. 221) and the conventional cell measures 5.766, 5.766 and 5.766 Å, with angles of 90.00, 90.00 and 90.00 degrees. The inequivalent atoms are Mg at (0.000, 0.000, 0.500), Te at (0.000, 0.000, 0.000) and F at (0.500, 0.500, 0.500).

The energy above the most stable polymorph in this dataset is 0.778 eV/atom. As for the formation energy (no corrections): -0.046 eV per atom.

# 4
Ag2HgMo: relaxed, PBE.

The space group is P4/mmm (No. 123) and the conventional cell measures 2.825, 2.825 and 9.071 Å, with angles of 90.00, 90.00 and 90.00 degrees. The inequivalent atoms are Ag at (0.000, 0.000, 0.237), Hg at (0.500, 0.500, 0.500) and Mo at (0.500, 0.500, 0.000).

The formation energy comes out at 1.55 eV/f.u.

# 5
InPb2S4: relaxed, PBE.

The space group is P2_1/m (No. 11) and the conventional cell measures 7.112, 7.326 and 7.718 Å, with angles of 90.00, 105.70 and 90.00 degrees. The inequivalent atoms are In at (0.237, 0.250, 0.184), Pb at (0.278, 0.750, 0.942), Pb at (0.294, 0.750, 0.448), S at (0.010, 0.250, 0.881), S at (0.015, 0.250, 0.379) and S at (0.485, 0.501, 0.247).

The energy above the most stable polymorph in this dataset is 0.000 eV/atom. As for the formation energy (no corrections): -0.296 eV per atom.

# 6
TmTh3Sc4: relaxed, PBE.

The space group is Pmmn (No. 59, origin choice 2) and the conventional cell measures 4.889, 9.822 and 9.414 Å, with angles of 90.00, 90.00 and 90.00 degrees. The inequivalent atoms are Tm at (0.250, 0.250, 0.135), Th at (0.250, 0.001, 0.867), Th at (0.250, 0.750, 0.134), Sc at (0.250, 0.250, 0.616), Sc at (0.250, 0.501, 0.385) and Sc at (0.250, 0.750, 0.618).

The energy above the most stable polymorph in this dataset is 0.006 eV/atom. The formation energy comes out at 0.44 eV/f.u.

# 7
Na3Bi4Te8: relaxed, PBE.

The space group is C2/m (No. 12) and the conventional cell measures 12.674, 12.800 and 8.905 Å, with angles of 90.00, 134.33 and 90.00 degrees. The inequivalent atoms are Na at (0.000, 0.000, 0.000), Na at (0.250, 0.250, 0.000), Bi at (0.000, 0.500, 0.000), Bi at (0.000, 0.500, 0.500), Bi at (0.250, 0.250, 0.500), Te at (0.000, 0.253, 0.500), Te at (0.000, 0.254, 0.000), Te at (0.244, 0.500, 0.993) and Te at (0.249, 0.500, 0.495).

As for the formation energy (no corrections): -0.365 eV per atom.

# 8
Rb4Nd3NpS8: relaxed, PBE.

The space group is R-3m (No. 166, hexagonal axes) and the conventional cell measures 8.4223, 8.4223 and 23.1067 Å, with angles of 90.00, 90.00 and 120.00 degrees. The inequivalent atoms are Rb at (0.0000, 0.0000, 0.0000), Rb at (0.0000, 0.5000, 0.0000), Nd at (0.0000, 0.5000, 0.5000), Np at (0.0000, 0.0000, 0.5000), S at (0.0000, 0.0000, 0.2328) and S at (0.0047, 0.5023, 0.2317).

As for the formation energy (no corrections): -1.700 eV per atom.

| no. | total magnetization (μB per formula unit) |
| --- | --- |
| 1 | 0.0 |
| 2 | 0.0 |
| 3 | 0.0 |
| 4 | 0.0 |
| 5 | 0.0 |
| 6 | 0.0 |
| 7 | 0.0 |
| 8 | 4.0 |